DFT (GGA-PBE) results for a relaxed Ce2MgCd crystal.

Summary:
* ΔE_f: -0.128 eV/atom
* E: -29.8 eV/cell

abc: 6.3452 5.1425 6.7834
angles: 90.00 117.87 90.00
Closest atoms and distances in Å follow each position.
Space group P2_1/m (No. 11)
Unique sites:
Ce 0.1568 0.2500 0.3828  3 Ce 2.73-2.93
Ce 0.2741 0.7500 0.6174  3 Ce 2.73-2.93
Mg 0.1973 0.2500 0.8954  4 Cd 2.99-3.19
Cd 0.3245 0.7500 0.1490  4 Mg 2.99-3.19, 2 Ce 3.34